[1]
## CsTlAg2Br6 (PBE)

Data for a geometry-optimized CsTlAg2Br6 structure.

Results
**Energy**: -2.554 eV per atom
**Formation energy without anion corrections**: -658 meV/atom
**Spin magnetization**: 0.000 μB per formula unit
**Space-group type**: No. 1

Cell lengths 7.478, 7.480, 8.152 Å; angles 62.56, 62.69, 59.88 degrees
Sites, in units of the cell vectors:
Br (0.747, 0.216, 0.742)
Br (0.275, 0.921, 0.219)
Br (0.923, 0.581, 0.221)
Br (0.294, 0.749, 0.744)
Br (0.215, 0.297, 0.741)
Br (0.585, 0.271, 0.220)
Ag (0.992, 0.991, 0.024)
Ag (0.517, 0.518, 0.446)
Cs (0.784, 0.786, 0.646)
Tl (0.330, 0.330, 0.010)



[2]
## BeRe2 (PBE)

Data for a geometry-optimized BeRe2 structure.

Results
**Energy**: -9.411 eV per atom
**ΔE to the lowest computed polymorph**: 1.204 eV/f.u.
**Formation enthalpy at 0 K**: 0.13 eV/atom
**Spin magnetization**: 0.000 μB per formula unit
**Space-group type**: No. 164

Cell lengths 2.763, 2.763, 6.086 Å; angles 90.00, 90.00, 120.00 degrees
Sites, in units of the cell vectors:
Re (0.667, 0.333, 0.675)
Re (0.333, 0.667, 0.325)
Be (0.000, 0.000, 0.000)



[3]
## LaDy12Ho2 (PBE)

Data for a geometry-optimized LaDy12Ho2 structure.

Results
**Energy**: -4.307 eV per atom
**Formation enthalpy at 0 K**: 0.31 eV/atom
**Spin magnetization**: 0.000 μB per formula unit
**Space-group type**: No. 125

Cell lengths 6.385, 6.385, 25.121 Å; angles 90.00, 90.00, 90.00 degrees
Sites, in units of the cell vectors:
Dy (0.183, 0.317, 0.120)
Dy (0.668, 0.832, 0.561)
Dy (0.832, 0.668, 0.439)
Dy (0.000, 0.000, 0.341)
Dy (0.683, 0.817, 0.880)
Dy (0.000, 0.000, 0.659)
Dy (0.832, 0.332, 0.561)
Dy (0.683, 0.183, 0.120)
Dy (0.317, 0.183, 0.880)
Dy (0.817, 0.683, 0.120)
Dy (0.332, 0.168, 0.561)
Dy (0.168, 0.668, 0.561)
Dy (0.817, 0.317, 0.880)
Dy (0.183, 0.683, 0.880)
Dy (0.332, 0.832, 0.439)
Dy (0.317, 0.817, 0.120)
Dy (0.500, 0.500, 0.219)
Dy (0.000, 0.000, 0.781)
Dy (0.500, 0.500, 0.659)
Dy (0.000, 0.000, 0.219)
Dy (0.500, 0.500, 0.341)
Dy (0.500, 0.500, 0.781)
Dy (0.668, 0.168, 0.439)
Dy (0.168, 0.332, 0.439)
La (0.000, 0.500, 0.000)
La (0.500, 0.000, 0.000)
Ho (0.000, 0.500, 0.723)
Ho (0.000, 0.500, 0.277)
Ho (0.500, 0.000, 0.723)
Ho (0.500, 0.000, 0.277)



[4]
## Ho5Fe2Te (PBE)

Data for a geometry-optimized Ho5Fe2Te structure.

Results
**Energy**: -5.707 eV per atom
**Formation energy without anion corrections**: -337 meV/atom
**Spin magnetization**: 2.466 μB per formula unit
**Space-group type**: No. 140

Cell lengths 7.472, 7.472, 8.796 Å; angles 115.13, 115.13, 90.00 degrees
Sites, in units of the cell vectors:
Ho (0.000, 0.000, 0.000)
Ho (0.202, 0.026, 0.728)
Ho (0.298, 0.798, 0.272)
Ho (0.526, 0.702, 0.728)
Ho (0.500, 0.500, 0.000)
Ho (0.798, 0.974, 0.272)
Ho (0.474, 0.298, 0.272)
Ho (0.026, 0.526, 0.728)
Ho (0.974, 0.474, 0.272)
Ho (0.702, 0.202, 0.728)
Te (0.750, 0.750, 0.500)
Te (0.250, 0.250, 0.500)
Fe (0.884, 0.616, 0.000)
Fe (0.616, 0.116, 0.000)
Fe (0.116, 0.384, 0.000)
Fe (0.384, 0.884, 0.000)



[5]
## LuMnCu4 (PBE)

Data for a geometry-optimized LuMnCu4 structure.

Results
**Energy**: -5.109 eV per atom
**Formation enthalpy at 0 K**: -0.10 eV/atom
**Spin magnetization**: 3.900 μB per formula unit
**Space-group type**: No. 216

Cell lengths 4.992, 4.992, 4.992 Å; angles 60.00, 60.00, 60.00 degrees
Sites, in units of the cell vectors:
Cu (0.626, 0.123, 0.626)
Cu (0.626, 0.626, 0.626)
Cu (0.626, 0.626, 0.123)
Cu (0.123, 0.626, 0.626)
Mn (0.000, 0.000, 0.000)
Lu (0.250, 0.250, 0.250)



[6]
## InCuPb2 (PBE)

Data for a geometry-optimized InCuPb2 structure.

Results
**Energy**: -3.384 eV per atom
**Formation enthalpy at 0 K**: 0.18 eV/atom
**Spin magnetization**: 0.000 μB per formula unit
**Space-group type**: No. 12

Cell lengths 6.557, 6.557, 5.382 Å; angles 63.94, 63.94, 30.35 degrees
Sites, in units of the cell vectors:
In (0.250, 0.250, 0.250)
Pb (0.048, 0.048, 0.949)
Pb (0.452, 0.452, 0.551)
Cu (0.750, 0.750, 0.750)



- spin magnetization of number 3 (LaDy12Ho2)?
  0.000 μB per formula unit



- Number 3 is which compound?
  LaDy12Ho2



- What is the formula in the second record?
  BeRe2



- Among the records above, which one has the highest energy?
  CsTlAg2Br6